(1)
## Tb3In3Hg2 (PBE)

Data for a geometry-optimized Tb3In3Hg2 structure.

Output
- polymorph energy (0 for the lowest one) (eV per atom) = 0.037
- uncorrected energy (eV/atom) = -3.23

abc: 4.967 5.033 8.241
angles: 90.00 90.00 90.00
Sites, in units of the cell vectors:
Tb  0.500  0.000  0.500
Tb  0.000  0.500  0.000
Tb  0.000  0.500  0.500
In  0.500  0.500  0.753
In  0.500  0.500  0.247
In  0.500  0.000  0.000
Hg  0.000  0.000  0.747
Hg  0.000  0.000  0.253

---

(2)
## CaH2CF (PBE)

Data for a geometry-optimized CaH2CF structure.

Output
- uncorrected energy (eV/atom) = -4.41

abc: 3.147 5.014 3.147
angles: 90.00 90.00 90.00
Sites, in units of the cell vectors:
H  0.000  0.000  0.500
H  0.500  0.000  0.000
Ca  0.000  0.500  0.000
C  0.000  0.000  0.000
F  0.500  0.500  0.500

---

(3)
## CsSbAsH (PBE)

Data for a geometry-optimized CsSbAsH structure.

Output
- polymorph energy (0 for the lowest one) (eV per atom) = 0.024
- uncorrected energy (eV/atom) = -3.41

abc: 7.149 3.991 12.051
angles: 90.00 122.19 90.00
Sites, in units of the cell vectors:
Cs  0.262  0.000  0.265
Cs  0.262  0.500  0.765
Sb  0.842  0.000  0.833
Sb  0.842  0.500  0.333
As  0.850  0.000  0.483
As  0.850  0.500  0.983
H  0.550  0.000  0.715
H  0.550  0.500  0.215

---

(4)
## Ba2LiBiS4 (PBE)

Data for a geometry-optimized Ba2LiBiS4 structure.

Output
- uncorrected energy (eV/atom) = -4.59
- formation energy (no corrections) (kJ/mol of formula units) = -1023.6

abc: 8.535 8.535 8.747
angles: 120.81 120.81 89.19
Sites, in units of the cell vectors:
Ba  0.500  0.000  0.000
Ba  0.500  0.000  0.500
Ba  0.000  0.000  0.500
Ba  0.500  0.500  0.000
Li  0.000  0.500  0.000
Li  0.000  0.500  0.500
Bi  0.500  0.500  0.500
Bi  0.000  0.000  0.000
S  0.223  0.745  0.985
S  0.755  0.277  0.515
S  0.245  0.723  0.485
S  0.777  0.255  0.015
S  0.762  0.738  0.979
S  0.762  0.738  0.521
S  0.238  0.262  0.479
S  0.238  0.262  0.021

---

(5)
## PbCBr3 (PBE)

Data for a geometry-optimized PbCBr3 structure.

Output
- uncorrected energy (eV/atom) = -2.46
- formation energy (no corrections) (kJ/mol of formula units) = 544.1

abc: 5.772 5.772 5.772
angles: 90.00 90.00 90.00
Each line ends with the local moment (μB).
Sites, in units of the cell vectors:
Pb  0.000  0.000  0.000  0.00
C  0.500  0.500  0.500  0.89
Br  0.000  0.500  0.000  -0.04
Br  0.000  0.000  0.500  -0.04
Br  0.500  0.000  0.000  -0.04

---

(6)
## Mg2AgSb (PBE)

Data for a geometry-optimized Mg2AgSb structure.

Output
- polymorph energy (0 for the lowest one) (eV per atom) = 0.043
- uncorrected energy (eV/atom) = -2.69
- formation energy (no corrections) (kJ/mol of formula units) = -57.6

abc: 4.836 3.275 5.536
angles: 89.94 90.00 90.00
Sites, in units of the cell vectors:
Ag  0.500  0.625  0.847
Mg  0.000  0.124  0.918
Mg  0.500  0.125  0.292
Sb  0.000  0.625  0.443

---

(7)
## Ca4Cd5Bi6 (PBE)

Data for a geometry-optimized Ca4Cd5Bi6 structure.

Output
- uncorrected energy (eV/atom) = -2.80

abc: 4.728 11.839 17.278
angles: 90.00 90.00 101.52
Sites, in units of the cell vectors:
Ca  0.965  0.930  0.277
Ca  0.035  0.070  0.777
Ca  0.157  0.315  0.293
Ca  0.843  0.685  0.793
Ca  0.829  0.657  0.451
Ca  0.171  0.343  0.951
Ca  0.010  0.019  0.492
Ca  0.990  0.981  0.992
Cd  0.442  0.885  0.707
Cd  0.558  0.115  0.207
Cd  0.142  0.284  0.628
Cd  0.858  0.716  0.128
Cd  0.690  0.379  0.420
Cd  0.310  0.621  0.920
Cd  0.316  0.631  0.631
Cd  0.684  0.369  0.131
Cd  0.346  0.691  0.262
Cd  0.654  0.309  0.762
Bi  0.765  0.530  0.267
Bi  0.417  0.834  0.405
Bi  0.772  0.543  0.005
Bi  0.228  0.457  0.505
Bi  0.433  0.866  0.876
Bi  0.567  0.134  0.376
Bi  0.442  0.884  0.127
Bi  0.558  0.116  0.627
Bi  0.100  0.200  0.115
Bi  0.900  0.800  0.615
Bi  0.583  0.166  0.905
Bi  0.235  0.470  0.767

---

(8)
## FeHg (PBE)

Data for a geometry-optimized FeHg structure.

Output
- uncorrected energy (eV/atom) = -3.99

abc: 6.674 6.674 2.825
angles: 90.00 90.00 120.00
Each line ends with the local moment (μB).
Sites, in units of the cell vectors:
Fe  0.205  0.000  0.500  2.67
Fe  0.000  0.205  0.500  2.67
Fe  0.795  0.795  0.500  2.67
Hg  0.567  0.000  0.000  -0.04
Hg  0.000  0.567  0.000  -0.04
Hg  0.433  0.433  0.000  -0.04